PBE BaGa2SnOs, relaxed; volume = 145 Å³ per cell; E_form = 0.67 eV/atom
1.0
-1.488 1.208 -4.971
4.777 -0.866 -1.641
-1.227 -5.110 -0.875
Ba Sn Ga Os
1 1 2 1
Direct
0.500 0.500 0.500
0.000 0.000 0.000
0.000 0.000 0.500
0.500 0.000 0.000
0.000 0.500 0.000